Compound: Li2MgNpF8
Source: Alexandria via LeMat-Bulk
Functional: PBE
Structure: relaxed

The space group is I-4m2 (No. 119) and the conventional cell measures 6.799, 6.799 and 6.745 Å, with angles of 90.00, 90.00 and 90.00 degrees. The distinct sites, in fractional coordinates, are Li at (0.000, 0.000, 0.000), Li at (0.000, 0.500, 0.250), Mg at (0.000, 0.500, 0.750), Np at (0.000, 0.000, 0.500), F at (0.000, 0.198, 0.797) and F at (0.000, 0.316, 0.447).

The density of states at the Fermi level comes out at 17.2 states/eV per cell. As for the formation energy without anion corrections: -3.273 eV per atom.